No. 1
A plane-wave DFT calculation with PBE was carried out for an optimized crystal structure of Er7BBr12.

POSCAR file:
```
Er7BBr12
1.0
7.221 4.169 3.233
-7.221 4.169 3.233
0.000 -8.338 3.233
Er B Br
7 1 12
Direct
0.000 0.000 0.000 Er
0.193 0.467 0.396 Er
0.396 0.193 0.467 Er
0.467 0.396 0.193 Er
0.533 0.604 0.807 Er
0.604 0.807 0.533 Er
0.807 0.533 0.604 Er
0.500 0.500 0.500 B
0.030 0.111 0.344 Br
0.111 0.344 0.030 Br
0.187 0.577 0.726 Br
0.274 0.813 0.423 Br
0.344 0.030 0.111 Br
0.423 0.274 0.813 Br
0.577 0.726 0.187 Br
0.656 0.970 0.889 Br
0.726 0.187 0.577 Br
0.813 0.423 0.274 Br
0.889 0.656 0.970 Br
0.970 0.889 0.656 Br
```

Computed properties:
Space group: No. 148
E_form (uncorrected): -1556 meV per atom
Total energy: -4.490 eV per atom
Magnetic moment: 0.00 μB/atom

***

No. 2
A plane-wave DFT calculation with PBE was carried out for an optimized crystal structure of GeBiIr.

POSCAR file:
```
GeBiIr
1.0
2.227 -2.227 0.000
2.227 2.227 0.000
-2.208 0.000 6.293
Ge Bi Ir
1 1 1
Direct
0.000 0.000 0.000 Ge
0.723 0.723 0.446 Bi
0.391 0.391 0.779 Ir
```

Computed properties:
Space group: No. 8
Total energy: -5.664 eV per atom
Magnetic moment: 0.00 μB/atom